No. 1
Entry from the Alexandria database: an optimized crystal structure of Ce11In9Co4 (PBE).

The structure in CIF format:
```
data_Ce11In9Co4
_symmetry_space_group_name_H-M 'C m m m'
_symmetry_Int_Tables_number 65
_symmetry_space_group_name_Hall '-C 2 2'
_cell_length_a 14.900
_cell_length_b 21.415
_cell_length_c 3.660
_cell_angle_alpha 90.00
_cell_angle_beta 90.00
_cell_angle_gamma 90.00
loop_
_atom_site_label
_atom_site_type_symbol
_atom_site_fract_x
_atom_site_fract_y
_atom_site_fract_z
Ce1 Ce 0.000 0.000 0.000
Ce2 Ce 0.000 0.148 0.000
Ce3 Ce 0.000 0.372 0.000
Ce4 Ce 0.182 0.500 0.000
Ce5 Ce 0.245 0.326 0.000
In1 In 0.000 0.500 0.500
In2 In 0.100 0.258 0.500
In3 In 0.156 0.070 0.500
Co1 Co 0.154 0.396 0.500
```


No. 2
Entry from the Alexandria database: an optimized crystal structure of Ce7In2Co2 (PBE).

The structure in CIF format:
```
data_Ce7In2Co2
_symmetry_space_group_name_H-M 'C m m m'
_symmetry_Int_Tables_number 65
_symmetry_space_group_name_Hall '-C 2 2'
_cell_length_a 7.798
_cell_length_b 11.243
_cell_length_c 6.745
_cell_angle_alpha 90.00
_cell_angle_beta 90.00
_cell_angle_gamma 90.00
loop_
_atom_site_label
_atom_site_type_symbol
_atom_site_fract_x
_atom_site_fract_y
_atom_site_fract_z
Ce1 Ce 0.000 0.000 0.000
Ce2 Ce 0.000 0.500 0.204
Ce3 Ce 0.250 0.250 0.260
In1 In 0.178 0.000 0.500
Co1 Co 0.000 0.273 0.000
```


No. 3
Entry from the Alexandria database: an optimized crystal structure of Ce7InCo2 (PBE).

The structure in CIF format:
```
data_Ce7InCo2
_symmetry_space_group_name_H-M 'C m m m'
_symmetry_Int_Tables_number 65
_symmetry_space_group_name_Hall '-C 2 2'
_cell_length_a 8.726
_cell_length_b 13.402
_cell_length_c 4.862
_cell_angle_alpha 90.00
_cell_angle_beta 90.00
_cell_angle_gamma 90.00
loop_
_atom_site_label
_atom_site_type_symbol
_atom_site_fract_x
_atom_site_fract_y
_atom_site_fract_z
Ce1 Ce 0.000 0.000 0.000
Ce2 Ce 0.000 0.203 0.500
Ce3 Ce 0.167 0.372 0.000
In1 In 0.000 0.500 0.500
Co1 Co 0.000 0.181 0.000
```


No. 4
# Ce2InCo | the Alexandria database | PBE | optimized geometry
# Distance to the lowest polymorph of the same formula ... 117.4 meV per atom
data_Ce2InCo
_symmetry_space_group_name_H-M 'R -3 m'
_symmetry_Int_Tables_number 166
_symmetry_space_group_name_Hall '-R 3 2"'
_cell_length_a 3.7599
_cell_length_b 3.7599
_cell_length_c 25.0488
_cell_angle_alpha 90.00
_cell_angle_beta 90.00
_cell_angle_gamma 120.00
loop_
_atom_site_label
_atom_site_type_symbol
_atom_site_fract_x
_atom_site_fract_y
_atom_site_fract_z
Ce1 Ce 0.0000 0.0000 0.2297
In1 In 0.0000 0.0000 0.0000
Co1 Co 0.0000 0.0000 0.5000


No. 5
# Ce2InCo | the Alexandria database | PBE | optimized geometry
# Distance to the lowest polymorph of the same formula ... 63.7 meV per atom
data_Ce2InCo
_symmetry_space_group_name_H-M 'P 4/m m m'
_symmetry_Int_Tables_number 123
_symmetry_space_group_name_Hall '-P 4 2'
_cell_length_a 3.506
_cell_length_b 3.506
_cell_length_c 7.469
_cell_angle_alpha 90.00
_cell_angle_beta 90.00
_cell_angle_gamma 90.00
loop_
_atom_site_label
_atom_site_type_symbol
_atom_site_fract_x
_atom_site_fract_y
_atom_site_fract_z
Ce1 Ce 0.000 0.000 0.191
In1 In 0.500 0.500 0.500
Co1 Co 0.500 0.500 0.000


No. 6
Entry from the Alexandria database: an optimized crystal structure of CeInCo (PBE).

The structure in CIF format:
```
data_CeInCo
_symmetry_space_group_name_H-M 'I 4 m m'
_symmetry_Int_Tables_number 107
_symmetry_space_group_name_Hall 'I 4 -2'
_cell_length_a 3.155
_cell_length_b 3.155
_cell_length_c 11.987
_cell_angle_alpha 90.00
_cell_angle_beta 90.00
_cell_angle_gamma 90.00
loop_
_atom_site_label
_atom_site_type_symbol
_atom_site_fract_x
_atom_site_fract_y
_atom_site_fract_z
Ce1 Ce 0.000 0.000 0.000
In1 In 0.000 0.000 0.281
Co1 Co 0.000 0.000 0.646
```


No. 7
Entry from the Alexandria database: an optimized crystal structure of CeIn3Co (PBE).

The structure in CIF format:
```
data_CeIn3Co
_symmetry_space_group_name_H-M 'P m -3 m'
_symmetry_Int_Tables_number 221
_symmetry_space_group_name_Hall '-P 4 2 3'
_cell_length_a 4.944
_cell_length_b 4.944
_cell_length_c 4.944
_cell_angle_alpha 90.00
_cell_angle_beta 90.00
_cell_angle_gamma 90.00
loop_
_atom_site_label
_atom_site_type_symbol
_atom_site_fract_x
_atom_site_fract_y
_atom_site_fract_z
Ce1 Ce 0.000 0.000 0.000
In1 In 0.000 0.500 0.500
Co1 Co 0.500 0.500 0.500
```


No. 8
Entry from the Alexandria database: an optimized crystal structure of Ce8InCo2 (PBE).

The structure in CIF format:
```
data_Ce8InCo2
_symmetry_space_group_name_H-M 'C 1 2/m 1'
_symmetry_Int_Tables_number 12
_symmetry_space_group_name_Hall '-C 2y'
_cell_length_a 8.416
_cell_length_b 13.077
_cell_length_c 5.101
_cell_angle_alpha 90.00
_cell_angle_beta 102.23
_cell_angle_gamma 90.00
loop_
_atom_site_label
_atom_site_type_symbol
_atom_site_fract_x
_atom_site_fract_y
_atom_site_fract_z
Ce1 Ce 0.000 0.227 0.000
Ce2 Ce 0.077 0.000 0.774
Ce3 Ce 0.176 0.386 0.551
In1 In 0.000 0.500 0.000
Co1 Co 0.000 0.194 0.500
```


| no. | total DFT energy (no corrections) (eV per atom) |
| --- | --- |
| 1 | -5.30 |
| 2 | -5.67 |
| 3 | -5.86 |
| 4 | -5.60 |
| 5 | -5.65 |
| 6 | -5.43 |
| 7 | -4.37 |
| 8 | -5.95 |